Entry 1:
Below is a geometry-optimized DyEr8Tm3 structure, with properties calculated at the PBE level.

The structure belongs to space group I4/mmm (No. 139); the cell edges are 7.569, 7.569 and 15.152 Å and the angles 90.00°, 90.00° and 90.00°. The inequivalent atoms are Dy at (0.000, 0.000, 0.000), Er at (0.250, 0.250, 0.125), Tm at (0.000, 0.000, 0.500) and Tm at (0.000, 0.500, 0.250).

The magnetization is 0.0 μB/f.u. The density is 7.7 g cm⁻³. The calculation puts the calculated volume at 868.12 Å³/cell. As for the raw total energy: -3.821 eV per atom. The energy relative to the elements is 0.722 eV/atom.


Entry 2:
Below is a geometry-optimized DyEr10Tm4 structure, with properties calculated at the PBE level.

The structure belongs to space group I4/m (No. 87); the cell edges are 11.969, 11.969 and 7.566 Å and the angles 90.00°, 90.00° and 90.00°. The inequivalent atoms are Dy at (0.000, 0.000, 0.000), Er at (0.000, 0.500, 0.250), Er at (0.100, 0.800, 0.251) and Tm at (0.100, 0.301, 0.500).

The magnetization is 0.0 μB/f.u. The density is 7.7 g cm⁻³. The calculation puts the calculated volume at 1083.84 Å³/cell. As for the raw total energy: -3.819 eV per atom. The energy relative to the elements is 0.722 eV/atom.


Entry 3:
Below is a geometry-optimized Dy16Er7Tm6 structure, with properties calculated at the PBE level.

The structure belongs to space group Fm-3m (No. 225); the cell edges are 15.554, 15.554 and 15.554 Å and the angles 90.00°, 90.00° and 90.00°. The inequivalent atoms are Dy at (0.123, 0.123, 0.123), Dy at (0.151, 0.151, 0.349), Er at (0.000, 0.000, 0.000), Er at (0.000, 0.250, 0.250) and Tm at (0.000, 0.000, 0.274).

The magnetization is 0.0 μB/f.u. The density is 8.4 g cm⁻³. The calculation puts the calculated volume at 3762.71 Å³/cell. As for the raw total energy: -4.324 eV per atom. The energy relative to the elements is 0.241 eV/atom.


Entry 4:
Below is a geometry-optimized Dy5Er2Tm structure, with properties calculated at the PBE level.

The structure belongs to space group Cmcm (No. 63); the cell edges are 5.571, 16.222 and 11.297 Å and the angles 90.00°, 90.00° and 90.00°. The inequivalent atoms are Dy at (0.000, 0.046, 0.112), Dy at (0.000, 0.394, 0.750), Dy at (0.000, 0.412, 0.080), Er at (0.000, 0.214, 0.580) and Tm at (0.000, 0.228, 0.250).

The magnetization is 0.0 μB/f.u. Its polymorph energy (0 for the lowest one) is 120.4 meV/atom. The density is 8.6 g cm⁻³. The calculation puts the calculated volume at 1020.96 Å³/cell. As for the raw total energy: -4.439 eV per atom. The energy relative to the elements is 0.137 eV/atom.